No. 1
# BaAs2Au (PBE, relaxed)
# space group: No. 123
data_BaAs2Au
_chemical_formula_sum 'Ba1 As2 Au1'
_cell_length_a 4.708
_cell_length_b 4.708
_cell_length_c 4.550
_cell_angle_alpha 90.00
_cell_angle_beta 90.00
_cell_angle_gamma 90.00
_space_group_name_H-M_alt 'P 1'
_space_group_IT_number 1
loop_
_space_group_symop_operation_xyz
'x,y,z'
loop_
_atom_site_label
_atom_site_type_symbol
_atom_site_fract_x
_atom_site_fract_y
_atom_site_fract_z
_atom_site_occupancy
Ba1 Ba 0.000 0.000 0.000 1
As1 As 0.000 0.500 0.500 1
As2 As 0.500 0.000 0.500 1
Au1 Au 0.500 0.500 0.000 1

No. 2
# Ba2AsAu7 (PBE, relaxed)
# space group: No. 115
data_Ba2AsAu7
_chemical_formula_sum 'Ba2 As1 Au7'
_cell_length_a 4.933
_cell_length_b 4.933
_cell_length_c 10.452
_cell_angle_alpha 90.00
_cell_angle_beta 90.00
_cell_angle_gamma 90.00
_space_group_name_H-M_alt 'P 1'
_space_group_IT_number 1
loop_
_space_group_symop_operation_xyz
'x,y,z'
loop_
_atom_site_label
_atom_site_type_symbol
_atom_site_fract_x
_atom_site_fract_y
_atom_site_fract_z
_atom_site_occupancy
Ba1 Ba 0.000 0.500 0.243 1
Ba2 Ba 0.500 0.000 0.757 1
As1 As 0.000 0.000 0.500 1
Au1 Au 0.000 0.000 0.000 1
Au2 Au 0.000 0.500 0.606 1
Au3 Au 0.000 0.500 0.868 1
Au4 Au 0.500 0.000 0.132 1
Au5 Au 0.500 0.000 0.394 1
Au6 Au 0.500 0.500 0.000 1
Au7 Au 0.500 0.500 0.500 1

No. 3
# Ba3As4Au2 (PBE, relaxed)
# space group: No. 12
data_Ba3As4Au2
_chemical_formula_sum 'Ba3 As4 Au2'
_cell_length_a 6.600
_cell_length_b 6.600
_cell_length_c 9.470
_cell_angle_alpha 100.82
_cell_angle_beta 100.82
_cell_angle_gamma 40.33
_space_group_name_H-M_alt 'P 1'
_space_group_IT_number 1
loop_
_space_group_symop_operation_xyz
'x,y,z'
loop_
_atom_site_label
_atom_site_type_symbol
_atom_site_fract_x
_atom_site_fract_y
_atom_site_fract_z
_atom_site_occupancy
Ba1 Ba 0.000 0.000 0.000 1
Ba2 Ba 0.353 0.353 0.345 1
Ba3 Ba 0.647 0.647 0.655 1
As1 As 0.078 0.078 0.364 1
As2 As 0.289 0.289 0.968 1
As3 As 0.711 0.711 0.032 1
As4 As 0.922 0.922 0.636 1
Au1 Au 0.369 0.369 0.730 1
Au2 Au 0.631 0.631 0.270 1

No. 4
# BaAsAu3 (PBE, relaxed)
# relative energy among the computed polymorphs: 0.000 eV per formula unit
# space group: No. 107
data_BaAsAu3
_chemical_formula_sum 'Ba1 As1 Au3'
_cell_length_a 6.339
_cell_length_b 6.339
_cell_length_c 6.339
_cell_angle_alpha 135.84
_cell_angle_beta 135.84
_cell_angle_gamma 64.23
_space_group_name_H-M_alt 'P 1'
_space_group_IT_number 1
loop_
_space_group_symop_operation_xyz
'x,y,z'
loop_
_atom_site_label
_atom_site_type_symbol
_atom_site_fract_x
_atom_site_fract_y
_atom_site_fract_z
_atom_site_occupancy
Ba1 Ba 0.000 0.000 0.000 1
As1 As 0.635 0.635 0.000 1
Au1 Au 0.244 0.744 0.500 1
Au2 Au 0.392 0.392 0.000 1
Au3 Au 0.744 0.244 0.500 1

No. 5
# Ba6As2Au (PBE, relaxed)
# space group: No. 12
data_Ba6As2Au
_chemical_formula_sum 'Ba6 As2 Au1'
_cell_length_a 10.705
_cell_length_b 10.705
_cell_length_c 9.658
_cell_angle_alpha 102.29
_cell_angle_beta 102.29
_cell_angle_gamma 25.76
_space_group_name_H-M_alt 'P 1'
_space_group_IT_number 1
loop_
_space_group_symop_operation_xyz
'x,y,z'
loop_
_atom_site_label
_atom_site_type_symbol
_atom_site_fract_x
_atom_site_fract_y
_atom_site_fract_z
_atom_site_occupancy
Ba1 Ba 0.008 0.008 0.244 1
Ba2 Ba 0.328 0.328 0.429 1
Ba3 Ba 0.337 0.337 0.897 1
Ba4 Ba 0.663 0.663 0.103 1
Ba5 Ba 0.672 0.672 0.571 1
Ba6 Ba 0.992 0.992 0.756 1
As1 As 0.167 0.167 0.339 1
As2 As 0.833 0.833 0.661 1
Au1 Au 0.500 0.500 0.000 1

No. 6
# BaAs2Au (PBE, relaxed)
# space group: No. 123
data_BaAs2Au
_chemical_formula_sum 'Ba1 As2 Au1'
_cell_length_a 3.881
_cell_length_b 3.881
_cell_length_c 6.796
_cell_angle_alpha 90.00
_cell_angle_beta 90.00
_cell_angle_gamma 90.00
_space_group_name_H-M_alt 'P 1'
_space_group_IT_number 1
loop_
_space_group_symop_operation_xyz
'x,y,z'
loop_
_atom_site_label
_atom_site_type_symbol
_atom_site_fract_x
_atom_site_fract_y
_atom_site_fract_z
_atom_site_occupancy
Ba1 Ba 0.000 0.000 0.000 1
As1 As 0.500 0.500 0.321 1
As2 As 0.500 0.500 0.679 1
Au1 Au 0.000 0.000 0.500 1

No. 7
# BaAs2Au (PBE, relaxed)
# space group: No. 65
data_BaAs2Au
_chemical_formula_sum 'Ba1 As2 Au1'
_cell_length_a 4.218
_cell_length_b 4.218
_cell_length_c 7.240
_cell_angle_alpha 90.00
_cell_angle_beta 90.00
_cell_angle_gamma 117.22
_space_group_name_H-M_alt 'P 1'
_space_group_IT_number 1
loop_
_space_group_symop_operation_xyz
'x,y,z'
loop_
_atom_site_label
_atom_site_type_symbol
_atom_site_fract_x
_atom_site_fract_y
_atom_site_fract_z
_atom_site_occupancy
Ba1 Ba 0.000 0.000 0.000 1
As1 As 0.500 0.500 0.312 1
As2 As 0.500 0.500 0.688 1
Au1 Au 0.000 0.000 0.500 1

No. 8
# BaAs2Au (PBE, relaxed)
# space group: No. 99
data_BaAs2Au
_chemical_formula_sum 'Ba1 As2 Au1'
_cell_length_a 3.757
_cell_length_b 3.757
_cell_length_c 7.271
_cell_angle_alpha 90.00
_cell_angle_beta 90.00
_cell_angle_gamma 90.00
_space_group_name_H-M_alt 'P 1'
_space_group_IT_number 1
loop_
_space_group_symop_operation_xyz
'x,y,z'
loop_
_atom_site_label
_atom_site_type_symbol
_atom_site_fract_x
_atom_site_fract_y
_atom_site_fract_z
_atom_site_occupancy
Ba1 Ba 0.000 0.000 0.000 1
As1 As 0.000 0.000 0.474 1
As2 As 0.500 0.500 0.347 1
Au1 Au 0.500 0.500 0.729 1

No. 9
# Ba3AsAu (PBE, relaxed)
# relative energy among the computed polymorphs: 0.000 eV per formula unit
# space group: No. 12
data_Ba3AsAu
_chemical_formula_sum 'Ba6 As2 Au2'
_cell_length_a 9.456
_cell_length_b 9.456
_cell_length_c 10.391
_cell_angle_alpha 120.54
_cell_angle_beta 120.54
_cell_angle_gamma 31.77
_space_group_name_H-M_alt 'P 1'
_space_group_IT_number 1
loop_
_space_group_symop_operation_xyz
'x,y,z'
loop_
_atom_site_label
_atom_site_type_symbol
_atom_site_fract_x
_atom_site_fract_y
_atom_site_fract_z
_atom_site_occupancy
Ba1 Ba 0.051 0.051 0.381 1
Ba2 Ba 0.264 0.264 0.323 1
Ba3 Ba 0.372 0.372 0.043 1
Ba4 Ba 0.628 0.628 0.957 1
Ba5 Ba 0.736 0.736 0.677 1
Ba6 Ba 0.949 0.949 0.619 1
As1 As 0.157 0.157 0.782 1
As2 As 0.843 0.843 0.218 1
Au1 Au 0.373 0.373 0.708 1
Au2 Au 0.627 0.627 0.292 1

No. 10
# Ba4AsAu (PBE, relaxed)
# relative energy among the computed polymorphs: 5.489 eV per formula unit
# space group: No. 216
data_Ba4AsAu
_chemical_formula_sum 'Ba4 As1 Au1'
_cell_length_a 6.988
_cell_length_b 6.988
_cell_length_c 6.988
_cell_angle_alpha 60.00
_cell_angle_beta 60.00
_cell_angle_gamma 60.00
_space_group_name_H-M_alt 'P 1'
_space_group_IT_number 1
loop_
_space_group_symop_operation_xyz
'x,y,z'
loop_
_atom_site_label
_atom_site_type_symbol
_atom_site_fract_x
_atom_site_fract_y
_atom_site_fract_z
_atom_site_occupancy
Ba1 Ba 0.124 0.124 0.124 1
Ba2 Ba 0.124 0.124 0.628 1
Ba3 Ba 0.124 0.628 0.124 1
Ba4 Ba 0.628 0.124 0.124 1
As1 As 0.750 0.750 0.750 1
Au1 Au 0.500 0.500 0.500 1

No. 11
# BaAsAu3 (PBE, relaxed)
# relative energy among the computed polymorphs: 0.886 eV per formula unit
# space group: No. 221
data_BaAsAu3
_chemical_formula_sum 'Ba1 As1 Au3'
_cell_length_a 5.143
_cell_length_b 5.143
_cell_length_c 5.143
_cell_angle_alpha 90.00
_cell_angle_beta 90.00
_cell_angle_gamma 90.00
_space_group_name_H-M_alt 'P 1'
_space_group_IT_number 1
loop_
_space_group_symop_operation_xyz
'x,y,z'
loop_
_atom_site_label
_atom_site_type_symbol
_atom_site_fract_x
_atom_site_fract_y
_atom_site_fract_z
_atom_site_occupancy
Ba1 Ba 0.000 0.000 0.000 1
As1 As 0.500 0.500 0.500 1
Au1 Au 0.000 0.500 0.500 1
Au2 Au 0.500 0.000 0.500 1
Au3 Au 0.500 0.500 0.000 1

No. 12
# BaAs2Au (PBE, relaxed)
# space group: No. 225
data_BaAs2Au
_chemical_formula_sum 'Ba1 As2 Au1'
_cell_length_a 5.207
_cell_length_b 5.207
_cell_length_c 5.207
_cell_angle_alpha 60.00
_cell_angle_beta 60.00
_cell_angle_gamma 60.00
_space_group_name_H-M_alt 'P 1'
_space_group_IT_number 1
loop_
_space_group_symop_operation_xyz
'x,y,z'
loop_
_atom_site_label
_atom_site_type_symbol
_atom_site_fract_x
_atom_site_fract_y
_atom_site_fract_z
_atom_site_occupancy
Ba1 Ba 0.000 0.000 0.000 1
As1 As 0.250 0.250 0.250 1
As2 As 0.750 0.750 0.750 1
Au1 Au 0.500 0.500 0.500 1

Number 1: theoretical density 7.97 Mg/m³, electronic total energy -0.141 Ha/atom, formation energy -200 meV/atom. Number 2: theoretical density 11.29 Mg/m³, electronic total energy -0.132 Ha/atom, formation energy -451 meV/atom. Number 3: theoretical density 7.02 Mg/m³, electronic total energy -0.157 Ha/atom, formation energy -848 meV/atom. Number 4: theoretical density 10.94 Mg/m³, electronic total energy -0.140 Ha/atom, formation energy -527 meV/atom. Number 5: theoretical density 4.14 Mg/m³, electronic total energy -0.125 Ha/atom, formation energy -730 meV/atom. Number 6: theoretical density 7.85 Mg/m³, electronic total energy -0.140 Ha/atom, formation energy -173 meV/atom. Number 7: theoretical density 7.02 Mg/m³, electronic total energy -0.143 Ha/atom, formation energy -270 meV/atom. Number 8: theoretical density 7.83 Mg/m³, electronic total energy -0.144 Ha/atom, formation energy -290 meV/atom. Number 9: theoretical density 5.47 Mg/m³, electronic total energy -0.128 Ha/atom, formation energy -751 meV/atom. Number 10: theoretical density 5.65 Mg/m³, electronic total energy -0.086 Ha/atom, formation energy 261 meV/atom. Number 11: theoretical density 9.80 Mg/m³, electronic total energy -0.133 Ha/atom, formation energy -350 meV/atom. Number 12: theoretical density 8.05 Mg/m³, electronic total energy -0.137 Ha/atom, formation energy -97 meV/atom.